A plane-wave DFT calculation with PBE-GGA was carried out for crystalline RbErTlF6 at its relaxed geometry.

The calculation puts the electronic total energy at -5.12 eV per atom. The calculated density comes out at 4.94 g/cm³.

Lattice parameters (Å, degrees): 6.3217 6.3217 11.0872 90.00 90.00 120.00
Last column: nearest neighbours and their distance in Å.
Element x y z (fractional)
F  0.0303  0.6393  0.3556  1 Er 2.18
F  0.3607  0.9697  0.1444  1 Er 2.18
F  0.3607  0.3909  0.3556  1 Er 2.18
F  0.6091  0.9697  0.3556  1 Er 2.18
F  0.9697  0.3607  0.6444  1 Er 2.18
F  0.3909  0.3607  0.8556  1 Er 2.18
F  0.6393  0.0303  0.8556  1 Er 2.18
F  0.6393  0.6091  0.6444  1 Er 2.18
F  0.0303  0.3909  0.1444  1 Er 2.18
F  0.9697  0.6091  0.8556  1 Er 2.18
F  0.6091  0.6393  0.1444  1 Er 2.18
F  0.3909  0.0303  0.6444  1 Er 2.18
Er  0.6667  0.3333  0.7500  6 F 2.18
Er  0.3333  0.6667  0.2500  6 F 2.18
Rb  0.0000  0.0000  0.5000  6 F 2.87
Rb  0.0000  0.0000  0.0000  6 F 2.87
Tl  0.6667  0.3333  0.2500  6 F 2.44
Tl  0.3333  0.6667  0.7500  6 F 2.44